DFT (PBE) results for a relaxed NiSb2As crystal.

Values from the calculation:
Mass density: 7423 kg/m³
Formation energy without anion corrections: 16 meV/atom
Crystal system: monoclinic

CIF file:
```
data_NiSb2As
_space_group_name_H-M_alt 'C 1 2/m 1'
_space_group_IT_number 12
_space_group_name_Hall '-C 2y'
_cell_length_a 6.703
_cell_length_b 3.861
_cell_length_c 6.889
_cell_angle_alpha 90.00
_cell_angle_beta 108.85
_cell_angle_gamma 90.00
loop_
_atom_site_label
_atom_site_type_symbol
_atom_site_fract_x
_atom_site_fract_y
_atom_site_fract_z
Ni1 Ni 0.000 0.000 0.000
Sb1 Sb 0.238 0.500 0.214
As1 As 0.000 0.500 0.500
```


DFT (PBE) results for a relaxed NiSbAs2 crystal.

Values from the calculation:
Mass density: 7191 kg/m³
Formation energy without anion corrections: 190 meV/atom
Crystal system: tetragonal

CIF file:
```
data_NiSbAs2
_space_group_name_H-M_alt 'P 4 m m'
_space_group_IT_number 99
_space_group_name_Hall 'P 4 -2'
_cell_length_a 2.988
_cell_length_b 2.988
_cell_length_c 8.544
_cell_angle_alpha 90.00
_cell_angle_beta 90.00
_cell_angle_gamma 90.00
loop_
_atom_site_label
_atom_site_type_symbol
_atom_site_fract_x
_atom_site_fract_y
_atom_site_fract_z
Ni1 Ni 0.000 0.000 0.000
Sb1 Sb 0.500 0.500 0.227
As1 As 0.000 0.000 0.540
As2 As 0.500 0.500 0.840
```


DFT (PBE) results for a relaxed NiSbAs2 crystal.

Values from the calculation:
Mass density: 7183 kg/m³
Formation energy without anion corrections: 393 meV/atom
Crystal system: orthorhombic

CIF file:
```
data_NiSbAs2
_space_group_name_H-M_alt 'C m m m'
_space_group_IT_number 65
_space_group_name_Hall '-C 2 2'
_cell_length_a 5.613
_cell_length_b 7.540
_cell_length_c 3.608
_cell_angle_alpha 90.00
_cell_angle_beta 90.00
_cell_angle_gamma 90.00
loop_
_atom_site_label
_atom_site_type_symbol
_atom_site_fract_x
_atom_site_fract_y
_atom_site_fract_z
Ni1 Ni 0.000 0.000 0.000
Sb1 Sb 0.000 0.500 0.000
As1 As 0.250 0.250 0.500
```


DFT (PBE) results for a relaxed Ni12Sb3As crystal.

Values from the calculation:
Mass density: 9388 kg/m³
Formation energy without anion corrections: -138 meV/atom
Crystal system: tetragonal

CIF file:
```
data_Ni12Sb3As
_space_group_name_H-M_alt 'P 4/m m m'
_space_group_IT_number 123
_space_group_name_Hall '-P 4 2'
_cell_length_a 3.706
_cell_length_b 3.706
_cell_length_c 14.735
_cell_angle_alpha 90.00
_cell_angle_beta 90.00
_cell_angle_gamma 90.00
loop_
_atom_site_label
_atom_site_type_symbol
_atom_site_fract_x
_atom_site_fract_y
_atom_site_fract_z
Ni1 Ni 0.000 0.000 0.000
Ni2 Ni 0.000 0.000 0.244
Ni3 Ni 0.000 0.000 0.500
Ni4 Ni 0.000 0.500 0.117
Ni5 Ni 0.000 0.500 0.372
Sb1 Sb 0.500 0.500 0.245
Sb2 Sb 0.500 0.500 0.500
As1 As 0.500 0.500 0.000
```


DFT (PBE) results for a relaxed NiSbAs2 crystal.

Values from the calculation:
Mass density: 7373 kg/m³
Formation energy without anion corrections: 403 meV/atom
Crystal system: cubic

CIF file:
```
data_NiSbAs2
_space_group_name_H-M_alt 'F -4 3 m'
_space_group_IT_number 216
_space_group_name_Hall 'F -4 2 3'
_cell_length_a 6.676
_cell_length_b 6.676
_cell_length_c 6.676
_cell_angle_alpha 90.00
_cell_angle_beta 90.00
_cell_angle_gamma 90.00
loop_
_atom_site_label
_atom_site_type_symbol
_atom_site_fract_x
_atom_site_fract_y
_atom_site_fract_z
Ni1 Ni 0.000 0.000 0.000
Sb1 Sb 0.250 0.250 0.750
As1 As 0.000 0.000 0.500
As2 As 0.250 0.250 0.250
```


DFT (PBE) results for a relaxed NiSb2As crystal.

Values from the calculation:
Mass density: 7269 kg/m³
Formation energy without anion corrections: 104 meV/atom
Crystal system: orthorhombic

CIF file:
```
data_NiSb2As
_space_group_name_H-M_alt 'I m m 2'
_space_group_IT_number 44
_space_group_name_Hall 'I 2 -2'
_cell_length_a 3.170
_cell_length_b 4.737
_cell_length_c 11.474
_cell_angle_alpha 90.00
_cell_angle_beta 90.00
_cell_angle_gamma 90.00
loop_
_atom_site_label
_atom_site_type_symbol
_atom_site_fract_x
_atom_site_fract_y
_atom_site_fract_z
Ni1 Ni 0.000 0.000 0.000
Sb1 Sb 0.000 0.000 0.505
Sb2 Sb 0.000 0.500 0.693
As1 As 0.000 0.500 0.340
```


DFT (PBE) results for a relaxed NiSb2As crystal.

Values from the calculation:
Mass density: 7316 kg/m³
Formation energy without anion corrections: 103 meV/atom
Crystal system: tetragonal

CIF file:
```
data_NiSb2As
_space_group_name_H-M_alt 'P 4 m m'
_space_group_IT_number 99
_space_group_name_Hall 'P 4 -2'
_cell_length_a 3.066
_cell_length_b 3.066
_cell_length_c 9.105
_cell_angle_alpha 90.00
_cell_angle_beta 90.00
_cell_angle_gamma 90.00
loop_
_atom_site_label
_atom_site_type_symbol
_atom_site_fract_x
_atom_site_fract_y
_atom_site_fract_z
Ni1 Ni 0.000 0.000 0.000
Sb1 Sb 0.000 0.000 0.540
Sb2 Sb 0.500 0.500 0.209
As1 As 0.500 0.500 0.859
```


DFT (PBE) results for a relaxed NiSbAs2 crystal.

Values from the calculation:
Mass density: 7356 kg/m³
Formation energy without anion corrections: 387 meV/atom
Crystal system: orthorhombic

CIF file:
```
data_NiSbAs2
_space_group_name_H-M_alt 'P m m m'
_space_group_IT_number 47
_space_group_name_Hall '-P 2 2'
_cell_length_a 3.221
_cell_length_b 4.575
_cell_length_c 5.060
_cell_angle_alpha 90.00
_cell_angle_beta 90.00
_cell_angle_gamma 90.00
loop_
_atom_site_label
_atom_site_type_symbol
_atom_site_fract_x
_atom_site_fract_y
_atom_site_fract_z
Ni1 Ni 0.000 0.000 0.000
Sb1 Sb 0.500 0.500 0.000
As1 As 0.000 0.500 0.500
As2 As 0.500 0.000 0.500
```


DFT (PBE) results for a relaxed Ni3Sb2As2 crystal.

Values from the calculation:
Mass density: 7713 kg/m³
Formation energy without anion corrections: -218 meV/atom
Crystal system: monoclinic

CIF file:
```
data_Ni3Sb2As2
_space_group_name_H-M_alt 'P 1 21/c 1'
_space_group_IT_number 14
_space_group_name_Hall '-P 2ybc'
_cell_length_a 6.189
_cell_length_b 6.435
_cell_length_c 6.410
_cell_angle_alpha 90.00
_cell_angle_beta 106.16
_cell_angle_gamma 90.00
loop_
_atom_site_label
_atom_site_type_symbol
_atom_site_fract_x
_atom_site_fract_y
_atom_site_fract_z
Ni1 Ni 0.000 0.000 0.000
Ni2 Ni 0.279 0.023 0.762
Sb1 Sb 0.150 0.651 0.885
As1 As 0.366 0.157 0.129
```


DFT (PBE) results for a relaxed NiSbAs2 crystal.

Values from the calculation:
Mass density: 7010 kg/m³
Formation energy without anion corrections: 103 meV/atom
Crystal system: orthorhombic

CIF file:
```
data_NiSbAs2
_space_group_name_H-M_alt 'C m m m'
_space_group_IT_number 65
_space_group_name_Hall '-C 2 2'
_cell_length_a 4.207
_cell_length_b 4.216
_cell_length_c 8.822
_cell_angle_alpha 90.00
_cell_angle_beta 90.00
_cell_angle_gamma 90.00
loop_
_atom_site_label
_atom_site_type_symbol
_atom_site_fract_x
_atom_site_fract_y
_atom_site_fract_z
Ni1 Ni 0.000 0.000 0.000
Sb1 Sb 0.000 0.000 0.500
As1 As 0.000 0.500 0.169
```


DFT (PBE) results for a relaxed NiSb2As crystal.

Values from the calculation:
Mass density: 7479 kg/m³
Formation energy without anion corrections: 464 meV/atom
Crystal system: cubic

CIF file:
```
data_NiSb2As
_space_group_name_H-M_alt 'F -4 3 m'
_space_group_IT_number 216
_space_group_name_Hall 'F -4 2 3'
_cell_length_a 6.945
_cell_length_b 6.945
_cell_length_c 6.945
_cell_angle_alpha 90.00
_cell_angle_beta 90.00
_cell_angle_gamma 90.00
loop_
_atom_site_label
_atom_site_type_symbol
_atom_site_fract_x
_atom_site_fract_y
_atom_site_fract_z
Ni1 Ni 0.000 0.000 0.000
Sb1 Sb 0.000 0.000 0.500
Sb2 Sb 0.250 0.250 0.750
As1 As 0.250 0.250 0.250
```


DFT (PBE) results for a relaxed NiSb3As crystal.

Values from the calculation:
Excess energy over the best structure of this formula in the dataset: 0 meV/atom
Mass density: 6755 kg/m³
Formation energy without anion corrections: 398 meV/atom
Crystal system: cubic

CIF file:
```
data_NiSb3As
_space_group_name_H-M_alt 'P m -3 m'
_space_group_IT_number 221
_space_group_name_Hall '-P 4 2 3'
_cell_length_a 4.968
_cell_length_b 4.968
_cell_length_c 4.968
_cell_angle_alpha 90.00
_cell_angle_beta 90.00
_cell_angle_gamma 90.00
loop_
_atom_site_label
_atom_site_type_symbol
_atom_site_fract_x
_atom_site_fract_y
_atom_site_fract_z
Ni1 Ni 0.000 0.000 0.000
Sb1 Sb 0.000 0.000 0.500
As1 As 0.500 0.500 0.500
```